No. 1
Density functional theory data (PBE) for crystalline HfBTe2I at its relaxed geometry.

Properties
Total moment (μB/cell): 0.000
Calculated volume (Å³ per cell): 116.8
E (eV/atom): -4.186
Distance to the lowest polymorph of the same formula (kJ per mole of atoms): 0.00
Formation energy from raw total energies (eV/atom): 0.706

abc: 4.832 4.832 5.003
angles: 90.00 90.00 90.00
Sites, in units of the cell vectors:
Hf (0.000, 0.000, 0.000)
B (0.500, 0.500, 0.500)
Te (0.000, 0.500, 0.500)
Te (0.500, 0.000, 0.500)
I (0.500, 0.500, 0.000)

=====

No. 2
Density functional theory data (PBE) for crystalline AcTmCd2In2 at its relaxed geometry.

Properties
Total moment (μB/cell): 0.000
Calculated volume (Å³ per cell): 166.0
Energy of formation from the pure elements (eV per atom): -0.402
E (eV/atom): -3.050

abc: 4.953 4.953 7.813
angles: 90.00 90.00 120.00
Sites, in units of the cell vectors:
Ac (0.000, 0.000, 0.000)
Tm (0.000, 0.000, 0.500)
Cd (0.333, 0.667, 0.699)
Cd (0.667, 0.333, 0.301)
In (0.333, 0.667, 0.273)
In (0.667, 0.333, 0.727)

=====

Which formula does entry 1 have? HfBTe2I